Record 1
A plane-wave DFT calculation with PBE-GGA was carried out for an optimized crystal structure of Al2Zn3Cu.

## Properties
E_form   34 kJ/mol of formula units
Spin magnetization   0.00 μB/f.u.

Unit cell a=2.8685 b=4.3343 c=7.3772 alpha=90.00 beta=90.00 gamma=90.00
Last column: nearest neighbours and their distance in Å.
Fractional positions:
Al 0.0000 0.0000 0.0000  2 Cu 2.74, 10 Zn 2.83-2.95, 2 Al 2.87
Al 0.0000 0.5000 0.4736  8 Zn 2.76-2.91, 4 Cu 2.84, 2 Al 2.87
Zn 0.5000 0.0000 0.6500  1 Cu 2.46, 2 Zn 2.49
Zn 0.5000 0.5000 0.1532  2 Cu 2.48, 1 Zn 2.48, 2 Al 2.76
Zn 0.5000 0.5000 0.8163  3 Zn 2.48-2.49
Cu 0.5000 0.0000 0.3171  3 Zn 2.46-2.48, 2 Al 2.74

---

Record 2
A plane-wave DFT calculation with PBE-GGA was carried out for an optimized crystal structure of AlZnCu.

## Properties
E_form   -22 kJ/mol of formula units
Spin magnetization   0.00 μB/f.u.

Unit cell a=8.0129 b=3.7579 c=6.1440 alpha=90.00 beta=90.00 gamma=90.00
Last column: nearest neighbours and their distance in Å.
Fractional positions:
Al 0.1285 0.2500 0.2185  4 Cu 2.50-2.58, 5 Zn 2.63-2.78
Al 0.3715 0.7500 0.7185  4 Cu 2.50-2.58, 5 Zn 2.63-2.78
Al 0.6285 0.2500 0.2815  4 Cu 2.50-2.58, 5 Zn 2.63-2.78
Al 0.8715 0.7500 0.7815  4 Cu 2.50-2.58, 5 Zn 2.63-2.78
Zn 0.1215 0.2500 0.7912  4 Cu 2.51-2.60, 5 Al 2.63-2.78
Zn 0.3785 0.7500 0.2912  4 Cu 2.51-2.60, 5 Al 2.63-2.78
Zn 0.6215 0.2500 0.7088  4 Cu 2.51-2.60, 5 Al 2.63-2.78
Zn 0.8785 0.7500 0.2088  4 Cu 2.51-2.60, 5 Al 2.63-2.78
Cu 0.1090 0.7500 0.4986  4 Al 2.50-2.58, 4 Zn 2.51-2.60, 2 Cu 2.57
Cu 0.3910 0.2500 0.9986  4 Al 2.50-2.58, 4 Zn 2.51-2.60, 2 Cu 2.57
Cu 0.6090 0.7500 0.0014  4 Al 2.50-2.58, 4 Zn 2.51-2.60, 2 Cu 2.57
Cu 0.8910 0.2500 0.5014  4 Al 2.50-2.58, 4 Zn 2.51-2.60, 2 Cu 2.57

---

Record 3
A plane-wave DFT calculation with PBE-GGA was carried out for an optimized crystal structure of Al5ZnCu8.

## Properties
E_form   -97 kJ/mol of formula units
Spin magnetization   0.00 μB/f.u.

Unit cell a=6.4409 b=6.4409 c=6.4409 alpha=116.18 beta=116.18 gamma=96.76
Last column: nearest neighbours and their distance in Å.
Fractional positions:
Al 0.0000 0.0000 0.0000  8 Cu 2.56
Al 0.2072 0.5857 0.9104  8 Cu 2.51-2.79
Al 0.4143 0.3247 0.6215  8 Cu 2.51-2.79
Al 0.6753 0.2968 0.0896  8 Cu 2.51-2.79
Al 0.7032 0.7928 0.3785  8 Cu 2.51-2.79
Zn 0.2500 0.7500 0.5000  4 Cu 2.37
Cu 0.1895 0.1043 0.7646  1 Zn 2.37, 3 Cu 2.41-2.56, 3 Al 2.56-2.61
Cu 0.3397 0.4249 0.2354  1 Zn 2.37, 3 Cu 2.41-2.56, 3 Al 2.56-2.61
Cu 0.4635 0.0616 0.2341  5 Cu 2.45-2.73, 5 Al 2.51-2.65
Cu 0.5751 0.8105 0.9148  1 Zn 2.37, 3 Cu 2.41-2.56, 3 Al 2.56-2.61
Cu 0.7706 0.5365 0.5980  5 Cu 2.45-2.73, 5 Al 2.51-2.65
Cu 0.8274 0.2294 0.7659  5 Cu 2.45-2.73, 5 Al 2.51-2.65
Cu 0.8957 0.6603 0.0852  1 Zn 2.37, 3 Cu 2.41-2.56, 3 Al 2.56-2.61
Cu 0.9384 0.1726 0.4019  5 Cu 2.45-2.73, 5 Al 2.51-2.65

---

Record 4
A plane-wave DFT calculation with PBE-GGA was carried out for an optimized crystal structure of Al3ZnCu12.

## Properties
E_form   -242 kJ/mol of formula units
Spin magnetization   0.00 μB/f.u.

Unit cell a=3.6584 b=3.6584 c=14.9221 alpha=90.00 beta=90.00 gamma=90.00
Last column: nearest neighbours and their distance in Å.
Fractional positions:
Al 0.0000 0.0000 0.0000  12 Cu 2.59-2.61
Al 0.0000 0.0000 0.2502  12 Cu 2.59-2.61
Al 0.0000 0.0000 0.7498  12 Cu 2.59-2.61
Zn 0.0000 0.0000 0.5000  12 Cu 2.59-2.62
Cu 0.0000 0.5000 0.1251  8 Cu 2.59-2.61, 4 Al 2.61
Cu 0.0000 0.5000 0.3744  8 Cu 2.59-2.62, 2 Al 2.60, 2 Zn 2.62
Cu 0.0000 0.5000 0.6256  8 Cu 2.59-2.62, 2 Al 2.60, 2 Zn 2.62
Cu 0.0000 0.5000 0.8749  8 Cu 2.59-2.61, 4 Al 2.61
Cu 0.5000 0.0000 0.1251  8 Cu 2.59-2.61, 4 Al 2.61
Cu 0.5000 0.0000 0.3744  8 Cu 2.59-2.62, 2 Al 2.60, 2 Zn 2.62
Cu 0.5000 0.0000 0.6256  8 Cu 2.59-2.62, 2 Al 2.60, 2 Zn 2.62
Cu 0.5000 0.0000 0.8749  8 Cu 2.59-2.61, 4 Al 2.61
Cu 0.5000 0.5000 0.0000  4 Al 2.59, 8 Cu 2.61
Cu 0.5000 0.5000 0.2497  4 Al 2.59, 8 Cu 2.61
Cu 0.5000 0.5000 0.5000  4 Zn 2.59, 8 Cu 2.62
Cu 0.5000 0.5000 0.7503  4 Al 2.59, 8 Cu 2.61

---

Record 5
A plane-wave DFT calculation with PBE-GGA was carried out for an optimized crystal structure of Al6ZnCu10.

## Properties
E_form   -216 kJ/mol of formula units
Spin magnetization   0.00 μB/f.u.

Unit cell a=7.2057 b=7.2057 c=5.0625 alpha=90.00 beta=90.00 gamma=120.00
Last column: nearest neighbours and their distance in Å.
Fractional positions:
Al 0.0000 0.3554 0.3146  7 Cu 2.48-2.64, 1 Zn 2.73
Al 0.0000 0.6446 0.6854  7 Cu 2.48-2.64, 1 Zn 2.73
Al 0.3554 0.0000 0.3146  7 Cu 2.48-2.64, 1 Zn 2.73
Al 0.3554 0.3554 0.6854  7 Cu 2.48-2.64, 1 Zn 2.73
Al 0.6446 0.0000 0.6854  7 Cu 2.48-2.64, 1 Zn 2.73
Al 0.6446 0.6446 0.3146  7 Cu 2.48-2.64, 1 Zn 2.73
Zn 0.0000 0.0000 0.5000  6 Al 2.73, 6 Cu 2.73
Cu 0.0000 0.3002 0.8303  5 Al 2.48-2.64, 4 Cu 2.67-2.76, 1 Zn 2.73
Cu 0.0000 0.6998 0.1697  5 Al 2.48-2.64, 4 Cu 2.67-2.76, 1 Zn 2.73
Cu 0.3002 0.0000 0.8303  5 Al 2.48-2.64, 4 Cu 2.67-2.76, 1 Zn 2.73
Cu 0.3002 0.3002 0.1697  5 Al 2.48-2.64, 4 Cu 2.67-2.76, 1 Zn 2.73
Cu 0.3333 0.6667 0.0000  8 Cu 2.53-2.67, 6 Al 2.82
Cu 0.3333 0.6667 0.5000  6 Al 2.51, 2 Cu 2.53
Cu 0.6667 0.3333 0.0000  8 Cu 2.53-2.67, 6 Al 2.82
Cu 0.6667 0.3333 0.5000  6 Al 2.51, 2 Cu 2.53
Cu 0.6998 0.0000 0.1697  5 Al 2.48-2.64, 4 Cu 2.67-2.76, 1 Zn 2.73
Cu 0.6998 0.6998 0.8303  5 Al 2.48-2.64, 4 Cu 2.67-2.76, 1 Zn 2.73

---

Record 6
A plane-wave DFT calculation with PBE-GGA was carried out for an optimized crystal structure of AlZnCu3.

## Properties
Excess energy over the best structure of this formula in the dataset   0.4983 eV/atom
E_form   317 kJ/mol of formula units
Spin magnetization   0.00 μB/f.u.

Unit cell a=4.4315 b=4.4315 c=4.4315 alpha=90.00 beta=90.00 gamma=90.00
Last column: nearest neighbours and their distance in Å.
Fractional positions:
Al 0.0000 0.0000 0.0000  12 Cu 3.13
Zn 0.5000 0.5000 0.5000  6 Cu 2.22
Cu 0.0000 0.5000 0.5000  2 Zn 2.22
Cu 0.5000 0.0000 0.5000  2 Zn 2.22
Cu 0.5000 0.5000 0.0000  2 Zn 2.22

---

Record 7
A plane-wave DFT calculation with PBE-GGA was carried out for an optimized crystal structure of AlZn6Cu8.

## Properties
E_form   18 kJ/mol of formula units
Spin magnetization   0.00 μB/f.u.

Unit cell a=6.6183 b=6.6183 c=6.6183 alpha=60.84 beta=60.84 gamma=60.84
Last column: nearest neighbours and their distance in Å.
Fractional positions:
Al 0.0000 0.0000 0.0000  6 Cu 2.49
Zn 0.1482 0.6077 0.4355  4 Cu 2.41-2.63, 3 Zn 2.55-2.69
Zn 0.3923 0.5645 0.8518  4 Cu 2.41-2.63, 3 Zn 2.55-2.69
Zn 0.4355 0.1482 0.6077  4 Cu 2.41-2.63, 3 Zn 2.55-2.69
Zn 0.5645 0.8518 0.3923  4 Cu 2.41-2.63, 3 Zn 2.55-2.69
Zn 0.6077 0.4355 0.1482  4 Cu 2.41-2.63, 3 Zn 2.55-2.69
Zn 0.8518 0.3923 0.5645  4 Cu 2.41-2.63, 3 Zn 2.55-2.69
Cu 0.1019 0.8845 0.6463  1 Cu 2.36, 3 Zn 2.41-2.63, 1 Al 2.49
Cu 0.1155 0.3537 0.8981  1 Cu 2.36, 3 Zn 2.41-2.63, 1 Al 2.49
Cu 0.2584 0.2584 0.2584  6 Zn 2.50-2.72, 6 Cu 2.67-2.74
Cu 0.3537 0.8981 0.1155  1 Cu 2.36, 3 Zn 2.41-2.63, 1 Al 2.49
Cu 0.6463 0.1019 0.8845  1 Cu 2.36, 3 Zn 2.41-2.63, 1 Al 2.49
Cu 0.7416 0.7416 0.7416  6 Zn 2.50-2.72, 6 Cu 2.67-2.74
Cu 0.8845 0.6463 0.1019  1 Cu 2.36, 3 Zn 2.41-2.63, 1 Al 2.49
Cu 0.8981 0.1155 0.3537  1 Cu 2.36, 3 Zn 2.41-2.63, 1 Al 2.49

---

Record 8
A plane-wave DFT calculation with PBE-GGA was carried out for an optimized crystal structure of Al2ZnCu.

## Properties
E_form   -25 kJ/mol of formula units
Spin magnetization   0.00 μB/f.u.

Unit cell a=2.8107 b=2.8107 c=7.5030 alpha=90.00 beta=90.00 gamma=90.00
Last column: nearest neighbours and their distance in Å.
Fractional positions:
Al 0.0000 0.0000 0.2282  4 Cu 2.62, 4 Al 2.81, 4 Zn 2.85
Al 0.0000 0.0000 0.7718  4 Cu 2.62, 4 Al 2.81, 4 Zn 2.85
Zn 0.5000 0.5000 0.5000  4 Zn 2.81, 8 Al 2.85
Cu 0.5000 0.5000 0.0000  8 Al 2.62, 4 Cu 2.81

---

Record 9
A plane-wave DFT calculation with PBE-GGA was carried out for an optimized crystal structure of AlZn3Cu.

## Properties
Excess energy over the best structure of this formula in the dataset   0.0000 eV/atom
E_form   182 kJ/mol of formula units
Spin magnetization   0.00 μB/f.u.

Unit cell a=4.6056 b=4.6056 c=4.6056 alpha=90.00 beta=90.00 gamma=90.00
Last column: nearest neighbours and their distance in Å.
Fractional positions:
Al 0.0000 0.0000 0.0000  12 Zn 3.26
Zn 0.0000 0.5000 0.5000  2 Cu 2.30
Zn 0.5000 0.0000 0.5000  2 Cu 2.30
Zn 0.5000 0.5000 0.0000  2 Cu 2.30
Cu 0.5000 0.5000 0.5000  6 Zn 2.30

---

- Look up the E_form of the third one.
  -97 kJ/mol of formula units

---

Copy entry 6 word for word.
A plane-wave DFT calculation with PBE-GGA was carried out for an optimized crystal structure of AlZnCu3.

## Properties
Excess energy over the best structure of this formula in the dataset   0.4983 eV/atom
E_form   317 kJ/mol of formula units
Spin magnetization   0.00 μB/f.u.

Unit cell a=4.4315 b=4.4315 c=4.4315 alpha=90.00 beta=90.00 gamma=90.00
Last column: nearest neighbours and their distance in Å.
Fractional positions:
Al 0.0000 0.0000 0.0000  12 Cu 3.13
Zn 0.5000 0.5000 0.5000  6 Cu 2.22
Cu 0.0000 0.5000 0.5000  2 Zn 2.22
Cu 0.5000 0.0000 0.5000  2 Zn 2.22
Cu 0.5000 0.5000 0.0000  2 Zn 2.22

---

- Which value of E_form does entry 6 give?
  317 kJ/mol of formula units

---

- Which of these has the lowest E_form?
  Al3ZnCu12